Entry 1:
First-principles (PBE-GGA) data for Be6Pd5 after structural relaxation, as listed in the Alexandria database.

Summary:
As for the volume: 260.3 Å³ per cell. The value obtained for the formation energy is -0.44 eV/atom. The calculation puts the total energy at -53.17 eV per formula unit. For the density, the calculation gives 7.48 Mg/m³.

CIF file:
```
data_Be6Pd5
_chemical_formula_sum 'Be12 Pd10'
_cell_length_a 3.9951
_cell_length_b 5.4635
_cell_length_c 11.9251
_cell_angle_alpha 90.00
_cell_angle_beta 90.00
_cell_angle_gamma 90.00
_symmetry_space_group_name_H-M 'I m m m'
_symmetry_Int_Tables_number 71
_symmetry_space_group_name_Hall '-I 2 2'
loop_
_atom_site_label
_atom_site_fract_x
_atom_site_fract_y
_atom_site_fract_z
Be1 0.0000 0.2270 0.0000
Be2 0.0000 0.2623 0.3372
Pd1 0.0000 0.0000 0.1683
Pd2 0.0000 0.0000 0.5000
Pd3 0.0000 0.5000 0.1608
```


Entry 2:
First-principles (PBE-GGA) data for Ca6SiSn2 after structural relaxation, as listed in the Alexandria database.

Summary:
As for the volume: 277.6 Å³ per cell. For the uncorrected formation energy, the calculation gives -0.559 eV per atom. The calculation puts the total energy at -30.47 eV per formula unit. For the density, the calculation gives 3.03 Mg/m³.

CIF file:
```
data_Ca6SiSn2
_chemical_formula_sum 'Ca6 Si1 Sn2'
_cell_length_a 8.2756
_cell_length_b 8.2756
_cell_length_c 4.6802
_cell_angle_alpha 90.00
_cell_angle_beta 90.00
_cell_angle_gamma 120.00
_symmetry_space_group_name_H-M 'P -6 2 m'
_symmetry_Int_Tables_number 189
_symmetry_space_group_name_Hall 'P -6 -2'
loop_
_atom_site_label
_atom_site_fract_x
_atom_site_fract_y
_atom_site_fract_z
Ca1 0.0000 0.2459 0.0000
Ca2 0.0000 0.5882 0.5000
Si1 0.0000 0.0000 0.5000
Sn1 0.3333 0.6667 0.0000
```


Entry 3:
First-principles (PBE-GGA) data for Ba3As4P after structural relaxation, as listed in the Alexandria database.

Summary:
As for the volume: 1003.2 Å³ per cell. The value obtained for the formation energy is -0.80 eV/atom. The calculation puts the total energy at -36.15 eV per formula unit. For the density, the calculation gives 4.92 Mg/m³.

CIF file:
```
data_Ba3As4P
_chemical_formula_sum 'Ba12 As16 P4'
_cell_length_a 8.5270
_cell_length_b 11.6860
_cell_length_c 10.0680
_cell_angle_alpha 90.00
_cell_angle_beta 90.00
_cell_angle_gamma 90.00
_symmetry_space_group_name_H-M 'P n m a'
_symmetry_Int_Tables_number 62
_symmetry_space_group_name_Hall '-P 2ac 2n'
loop_
_atom_site_label
_atom_site_fract_x
_atom_site_fract_y
_atom_site_fract_z
Ba1 0.0304 0.0495 0.1876
Ba2 0.1343 0.7500 0.4193
As1 0.0370 0.7500 0.0838
As2 0.1326 0.0415 0.5225
As3 0.2111 0.7500 0.7313
P1 0.2391 0.2500 0.4540
```


Entry 4:
First-principles (PBE-GGA) data for ReOsRh2 after structural relaxation, as listed in the Alexandria database.

Summary:
As for the volume: 172.5 Å³ per cell. The value obtained for the formation energy is 0.04 eV/atom. The calculation puts the total energy at -38.23 eV per formula unit. For the density, the calculation gives 16.81 Mg/m³. The energy above the lowest structure with this stoichiometry comes out at 37 kJ/mol of formula units.

CIF file:
```
data_ReOsRh2
_chemical_formula_sum 'Re3 Os3 Rh6'
_cell_length_a 2.7330
_cell_length_b 2.7330
_cell_length_c 26.6720
_cell_angle_alpha 90.00
_cell_angle_beta 90.00
_cell_angle_gamma 120.00
_symmetry_space_group_name_H-M 'R -3 m'
_symmetry_Int_Tables_number 166
_symmetry_space_group_name_Hall '-R 3 2"'
loop_
_atom_site_label
_atom_site_fract_x
_atom_site_fract_y
_atom_site_fract_z
Re1 0.0000 0.0000 0.0000
Os1 0.0000 0.0000 0.5000
Rh1 0.0000 0.0000 0.2503
```


Entry 5:
First-principles (PBE-GGA) data for Ca5DySe6 after structural relaxation, as listed in the Alexandria database.

Summary:
As for the volume: 620.2 Å³ per cell. For the uncorrected formation energy, the calculation gives -1.971 eV per atom. The calculation puts the total energy at -59.17 eV per formula unit. For the density, the calculation gives 4.48 Mg/m³.

CIF file:
```
data_Ca5DySe6
_chemical_formula_sum 'Ca10 Dy2 Se12'
_cell_length_a 7.2416
_cell_length_b 12.5403
_cell_length_c 7.2442
_cell_angle_alpha 90.00
_cell_angle_beta 109.47
_cell_angle_gamma 90.00
_symmetry_space_group_name_H-M 'C 1 2/m 1'
_symmetry_Int_Tables_number 12
_symmetry_space_group_name_Hall '-C 2y'
loop_
_atom_site_label
_atom_site_fract_x
_atom_site_fract_y
_atom_site_fract_z
Ca1 0.0000 0.0000 0.0000
Ca2 0.0000 0.1665 0.5000
Ca3 0.0000 0.3320 0.0000
Dy1 0.0000 0.5000 0.5000
Se1 0.2451 0.5000 0.2530
Se2 0.2461 0.3362 0.7467
```


Entry 6:
First-principles (PBE-GGA) data for MgTiZn2Mo after structural relaxation, as listed in the Alexandria database.

Summary:
As for the volume: 111.6 Å³ per cell. The value obtained for the formation energy is 1.17 eV/atom. The calculation puts the total energy at -17.00 eV per formula unit. For the density, the calculation gives 4.45 Mg/m³.

CIF file:
```
data_MgTiZn2Mo
_chemical_formula_sum 'Mg1 Ti1 Zn2 Mo1'
_cell_length_a 4.7724
_cell_length_b 4.7724
_cell_length_c 4.8989
_cell_angle_alpha 90.00
_cell_angle_beta 90.00
_cell_angle_gamma 90.00
_symmetry_space_group_name_H-M 'P 4/m m m'
_symmetry_Int_Tables_number 123
_symmetry_space_group_name_Hall '-P 4 2'
loop_
_atom_site_label
_atom_site_fract_x
_atom_site_fract_y
_atom_site_fract_z
Mg1 0.0000 0.0000 0.0000
Ti1 0.5000 0.5000 0.0000
Zn1 0.0000 0.5000 0.5000
Mo1 0.0000 0.0000 0.5000
```


Entry 7:
First-principles (PBE-GGA) data for MgFeMo2 after structural relaxation, as listed in the Alexandria database.

Summary:
As for the volume: 62.6 Å³ per cell. The value obtained for the formation energy is 0.29 eV/atom. The calculation puts the total energy at -30.57 eV per formula unit. For the density, the calculation gives 7.21 Mg/m³.

CIF file:
```
data_MgFeMo2
_chemical_formula_sum 'Mg1 Fe1 Mo2'
_cell_length_a 3.1794
_cell_length_b 3.1794
_cell_length_c 6.1947
_cell_angle_alpha 90.00
_cell_angle_beta 90.00
_cell_angle_gamma 90.00
_symmetry_space_group_name_H-M 'P 4 m m'
_symmetry_Int_Tables_number 99
_symmetry_space_group_name_Hall 'P 4 -2'
loop_
_atom_site_label
_atom_site_fract_x
_atom_site_fract_y
_atom_site_fract_z
Mg1 0.0000 0.0000 0.0000
Fe1 0.5000 0.5000 0.7407
Mo1 0.0000 0.0000 0.5189
Mo2 0.5000 0.5000 0.2929
```


Entry 8:
First-principles (PBE-GGA) data for VCo3N after structural relaxation, as listed in the Alexandria database.

Summary:
As for the volume: 74.1 Å³ per cell. For the uncorrected formation energy, the calculation gives 2.205 eV per atom. The calculation puts the total energy at -27.74 eV per formula unit. For the density, the calculation gives 5.42 Mg/m³. The energy above the lowest structure with this stoichiometry comes out at 1037 kJ/mol of formula units.

CIF file:
```
data_VCo3N
_chemical_formula_sum 'V1 Co3 N1'
_cell_length_a 4.1999
_cell_length_b 4.1999
_cell_length_c 4.1999
_cell_angle_alpha 90.00
_cell_angle_beta 90.00
_cell_angle_gamma 90.00
_symmetry_space_group_name_H-M 'P m -3 m'
_symmetry_Int_Tables_number 221
_symmetry_space_group_name_Hall '-P 4 2 3'
loop_
_atom_site_label
_atom_site_fract_x
_atom_site_fract_y
_atom_site_fract_z
V1 0.0000 0.0000 0.0000
Co1 0.0000 0.0000 0.5000
N1 0.5000 0.5000 0.5000
```


Entry 9:
First-principles (PBE-GGA) data for Pt5Rh4W2 after structural relaxation, as listed in the Alexandria database.

Summary:
As for the volume: 343.3 Å³ per cell. The value obtained for the formation energy is -0.12 eV/atom. The calculation puts the total energy at -86.85 eV per formula unit. For the density, the calculation gives 16.98 Mg/m³.

CIF file:
```
data_Pt5Rh4W2
_chemical_formula_sum 'Pt10 Rh8 W4'
_cell_length_a 18.6858
_cell_length_b 2.7747
_cell_length_c 6.6476
_cell_angle_alpha 90.00
_cell_angle_beta 95.16
_cell_angle_gamma 90.00
_symmetry_space_group_name_H-M 'C 1 2/m 1'
_symmetry_Int_Tables_number 12
_symmetry_space_group_name_Hall '-C 2y'
loop_
_atom_site_label
_atom_site_fract_x
_atom_site_fract_y
_atom_site_fract_z
Pt1 0.0000 0.0000 0.0000
Pt2 0.1807 0.5000 0.4727
Pt3 0.2271 0.0000 0.8289
Rh1 0.0381 0.5000 0.3413
Rh2 0.1254 0.5000 0.0281
W1 0.0864 0.0000 0.6845
```


Entry 10:
First-principles (PBE-GGA) data for GdHoMnZn after structural relaxation, as listed in the Alexandria database.

Summary:
As for the volume: 359.9 Å³ per cell. The value obtained for the formation energy is -0.02 eV/atom. The calculation puts the total energy at -29.19 eV per formula unit. For the density, the calculation gives 8.17 Mg/m³.

CIF file:
```
data_GdHoMnZn
_chemical_formula_sum 'Gd4 Ho4 Mn4 Zn4'
_cell_length_a 7.1130
_cell_length_b 7.1130
_cell_length_c 7.1130
_cell_angle_alpha 90.00
_cell_angle_beta 90.00
_cell_angle_gamma 90.00
_symmetry_space_group_name_H-M 'F -4 3 m'
_symmetry_Int_Tables_number 216
_symmetry_space_group_name_Hall 'F -4 2 3'
loop_
_atom_site_label
_atom_site_fract_x
_atom_site_fract_y
_atom_site_fract_z
Gd1 0.0000 0.0000 0.0000
Ho1 0.0000 0.0000 0.5000
Mn1 0.2500 0.2500 0.2500
Zn1 0.2500 0.2500 0.7500
```


Entry 11:
First-principles (PBE-GGA) data for Pu4Ga2O after structural relaxation, as listed in the Alexandria database.

Summary:
As for the volume: 329.7 Å³ per cell. For the uncorrected formation energy, the calculation gives -0.685 eV per atom. The calculation puts the total energy at -73.14 eV per formula unit. For the density, the calculation gives 11.40 Mg/m³.

CIF file:
```
data_Pu4Ga2O
_chemical_formula_sum 'Pu8 Ga4 O2'
_cell_length_a 4.6174
_cell_length_b 4.6174
_cell_length_c 15.4664
_cell_angle_alpha 90.00
_cell_angle_beta 90.00
_cell_angle_gamma 90.00
_symmetry_space_group_name_H-M 'I 4/m m m'
_symmetry_Int_Tables_number 139
_symmetry_space_group_name_Hall '-I 4 2'
loop_
_atom_site_label
_atom_site_fract_x
_atom_site_fract_y
_atom_site_fract_z
Pu1 0.0000 0.0000 0.1782
Pu2 0.0000 0.5000 0.0000
Ga1 0.0000 0.0000 0.3692
O1 0.0000 0.0000 0.0000
```


What is the total energy in the eighth record?
-27.74 eV per formula unit